Compound: NpMnSe2
Source: Alexandria via LeMat-Bulk
Functional: PBE
Structure: relaxed

Output
* VASP energy: -7.7156 eV per atom
* excess energy over the best structure of this formula in the dataset: 0.87 eV per formula unit
* SG: No. 166
* total magnetization: 4.01 μB/f.u.
* crystal system: trigonal
* uncorrected formation energy: -43.0 kJ/mol of atoms

Cell: 3.9579 3.9579 6.0012 Å, 70.75 70.75 60.00°
Sites, in units of the cell vectors:
Np: 0.5000 0.5000 0.5000
Mn: 0.0000 0.0000 0.0000
Se: 0.2671 0.2671 0.1988
Se: 0.7329 0.7329 0.8012

Compound: Np5Mn2Se12
Source: Alexandria via LeMat-Bulk
Functional: PBE
Structure: relaxed

Output
* VASP energy: -7.4592 eV per atom
* SG: No. 12
* total magnetization: 10.95 μB/f.u.
* crystal system: monoclinic
* uncorrected formation energy: -85.7 kJ/mol of atoms

Cell: 7.2935 8.7137 8.9024 Å, 104.97 90.00 114.74°
Sites, in units of the cell vectors:
Np: 0.3001 0.6002 0.6468
Np: 0.3173 0.6346 0.1539
Np: 0.0000 0.0000 0.5000
Np: 0.6827 0.3654 0.8461
Np: 0.6999 0.3998 0.3532
Mn: 0.7470 0.0000 0.0000
Mn: 0.2530 0.0000 0.0000
Se: 0.9981 0.9962 0.1917
Se: 0.0826 0.6629 0.9090
Se: 0.5803 0.6629 0.9090
Se: 0.1028 0.7036 0.4319
Se: 0.6009 0.7036 0.4319
Se: 0.4939 0.9878 0.7903
Se: 0.5061 0.0122 0.2097
Se: 0.8972 0.2964 0.5681
Se: 0.3991 0.2964 0.5681
Se: 0.9174 0.3371 0.0910
Se: 0.4197 0.3371 0.0910
Se: 0.0019 0.0038 0.8083

Compound: NpMn4Se8
Source: Alexandria via LeMat-Bulk
Functional: PBE
Structure: relaxed

Output
* VASP energy: -6.5314 eV per atom
* SG: No. 166
* total magnetization: 18.80 μB/f.u.
* crystal system: trigonal
* uncorrected formation energy: -55.0 kJ/mol of atoms

Cell: 7.4390 7.4390 7.7708 Å, 61.40 61.40 60.00°
Sites, in units of the cell vectors:
Np: 0.5000 0.5000 0.5000
Mn: 0.0000 0.5000 0.0000
Mn: 0.5000 0.5000 0.0000
Mn: 0.5000 0.0000 0.0000
Mn: 0.0000 0.0000 0.0000
Se: 0.7430 0.2412 0.7747
Se: 0.7588 0.2570 0.2253
Se: 0.2570 0.7588 0.2253
Se: 0.7588 0.7588 0.2253
Se: 0.7366 0.7366 0.7903
Se: 0.2634 0.2634 0.2097
Se: 0.2412 0.2412 0.7747
Se: 0.2412 0.7430 0.7747